Entry 1:
DFT (GGA-PBE) results for a geometry-optimized Nd3Pu2Ru3 structure.

a = 6.218 Å, b = 6.218 Å, c = 13.551 Å
α = 90.00°, β = 90.00°, γ = 134.14°
Fractional positions:
Nd 0.139 0.861 0.750
Nd 0.142 0.858 0.004
Nd 0.142 0.858 0.496
Nd 0.858 0.142 0.504
Nd 0.858 0.142 0.996
Nd 0.861 0.139 0.250
Pu 0.434 0.566 0.641
Pu 0.434 0.566 0.859
Pu 0.566 0.434 0.141
Pu 0.566 0.434 0.359
Ru 0.139 0.861 0.250
Ru 0.335 0.665 0.131
Ru 0.335 0.665 0.369
Ru 0.665 0.335 0.631
Ru 0.665 0.335 0.869
Ru 0.861 0.139 0.750

The final energy comes out at -8.860 eV per atom.

***

Entry 2:
DFT (GGA-PBE) results for a geometry-optimized LaNdNb2O8 structure.

a = 6.966 Å, b = 6.966 Å, c = 6.966 Å
α = 134.26°, β = 134.26°, γ = 66.68°
Fractional positions:
La 0.000 0.000 0.000
Nd 0.250 0.750 0.500
Nb 0.500 0.500 0.000
Nb 0.750 0.250 0.500
O 0.001 0.088 0.419
O 0.252 0.661 0.088
O 0.339 0.427 0.592
O 0.417 0.999 0.087
O 0.573 0.164 0.912
O 0.670 0.583 0.581
O 0.836 0.748 0.408
O 0.912 0.330 0.913

The final energy comes out at -8.869 eV per atom.

***

Entry 3:
DFT (GGA-PBE) results for a geometry-optimized Li2HW2 structure.

a = 7.918 Å, b = 7.918 Å, c = 2.692 Å
α = 90.00°, β = 90.00°, γ = 90.00°
Fractional positions:
Li 0.188 0.312 0.000
Li 0.312 0.812 0.000
Li 0.688 0.188 0.000
Li 0.812 0.688 0.000
H 0.000 0.000 0.000
H 0.500 0.500 0.000
W 0.104 0.604 0.500
W 0.396 0.104 0.500
W 0.604 0.896 0.500
W 0.896 0.396 0.500

The final energy comes out at -5.229 eV per atom. For the energy above the lowest structure with this stoichiometry, the calculation gives 0.425 eV per atom.

***

Entry 4:
DFT (GGA-PBE) results for a geometry-optimized SrNiB2 structure.

a = 4.668 Å, b = 4.668 Å, c = 11.809 Å
α = 90.00°, β = 90.00°, γ = 90.00°
Fractional positions:
Sr 0.000 0.250 0.375
Sr 0.000 0.750 0.625
Sr 0.500 0.250 0.125
Sr 0.500 0.750 0.875
Ni 0.000 0.250 0.875
Ni 0.000 0.750 0.125
Ni 0.500 0.250 0.625
Ni 0.500 0.750 0.375
B 0.000 0.000 0.000
B 0.000 0.500 0.000
B 0.250 0.250 0.750
B 0.250 0.750 0.250
B 0.500 0.000 0.500
B 0.500 0.500 0.500
B 0.750 0.250 0.750
B 0.750 0.750 0.250

The final energy comes out at -5.110 eV per atom. For the energy above the lowest structure with this stoichiometry, the calculation gives 0.000 eV per atom.

***

Which of these has the highest final energy?
SrNiB2

***

Which of these has the highest final energy?
SrNiB2

***

Repeat the first record exactly.
DFT (GGA-PBE) results for a geometry-optimized Nd3Pu2Ru3 structure.

a = 6.218 Å, b = 6.218 Å, c = 13.551 Å
α = 90.00°, β = 90.00°, γ = 134.14°
Fractional positions:
Nd 0.139 0.861 0.750
Nd 0.142 0.858 0.004
Nd 0.142 0.858 0.496
Nd 0.858 0.142 0.504
Nd 0.858 0.142 0.996
Nd 0.861 0.139 0.250
Pu 0.434 0.566 0.641
Pu 0.434 0.566 0.859
Pu 0.566 0.434 0.141
Pu 0.566 0.434 0.359
Ru 0.139 0.861 0.250
Ru 0.335 0.665 0.131
Ru 0.335 0.665 0.369
Ru 0.665 0.335 0.631
Ru 0.665 0.335 0.869
Ru 0.861 0.139 0.750

The final energy comes out at -8.860 eV per atom.

***

Please write out number 4 again, unchanged.
DFT (GGA-PBE) results for a geometry-optimized SrNiB2 structure.

a = 4.668 Å, b = 4.668 Å, c = 11.809 Å
α = 90.00°, β = 90.00°, γ = 90.00°
Fractional positions:
Sr 0.000 0.250 0.375
Sr 0.000 0.750 0.625
Sr 0.500 0.250 0.125
Sr 0.500 0.750 0.875
Ni 0.000 0.250 0.875
Ni 0.000 0.750 0.125
Ni 0.500 0.250 0.625
Ni 0.500 0.750 0.375
B 0.000 0.000 0.000
B 0.000 0.500 0.000
B 0.250 0.250 0.750
B 0.250 0.750 0.250
B 0.500 0.000 0.500
B 0.500 0.500 0.500
B 0.750 0.250 0.750
B 0.750 0.750 0.250

The final energy comes out at -5.110 eV per atom. For the energy above the lowest structure with this stoichiometry, the calculation gives 0.000 eV per atom.